No. 1
ScAgC after structural relaxation. Source: the Alexandria database, functional GGA-PBE.

Crystal system: hexagonal
Spin magnetization: 0.000 μB per formula unit

Lattice parameters (Å, degrees): 4.9904 4.9904 8.0772 90.00 90.00 120.00
Closest atoms and distances in Å follow each position.
Space group P6_3/mmc (No. 194)
Inequivalent atoms, fractional coordinates:
Sc 0.0000 0.0000 0.2500 x2  2 C 2.02
Ag 0.3333 0.6667 0.2500 x2  3 Sc 2.88
C 0.0000 0.0000 0.0000 x2  2 Sc 2.02

=====

No. 2
Dy12InNi5 after structural relaxation. Source: the Alexandria database, functional GGA-PBE.

Crystal system: orthorhombic
Spin magnetization: 0.000 μB per formula unit

Lattice parameters (Å, degrees): 9.3642 9.5500 9.8992 90.00 90.00 90.00
Closest atoms and distances in Å follow each position.
Space group Immm (No. 71)
Inequivalent atoms, fractional coordinates:
Dy 0.0000 0.1904 0.2120 x8  2 Ni 2.68-2.78
Dy 0.1948 0.5000 0.1780 x8  3 Ni 2.68-2.84
Dy 0.2048 0.3175 0.5000 x8  2 Ni 2.87
In 0.0000 0.0000 0.5000 x2  12 Dy 3.36-3.59
Ni 0.0000 0.0000 0.0000 x2  4 Dy 2.78
Ni 0.0000 0.3653 0.0000 x4  1 Ni 2.57, 6 Dy 2.68-2.84
Ni 0.0000 0.5000 0.3761 x4  1 Ni 2.45, 2 Dy 2.68

=====

No. 3
MnNbOs after structural relaxation. Source: the Alexandria database, functional GGA-PBE.

Distance to the lowest polymorph of the same formula: 0.158 eV/atom
Crystal system: tetragonal
Spin magnetization: 2.739 μB per formula unit

Lattice parameters (Å, degrees): 3.1476 3.1476 9.2755 90.00 90.00 90.00
Closest atoms and distances in Å follow each position.
Space group I4mm (No. 107)
Inequivalent atoms, fractional coordinates:
Mn 0.0000 0.0000 0.0000 x2  4 Os 2.70, 4 Nb 2.73
Nb 0.0000 0.0000 0.6699 x2  4 Os 2.70, 4 Mn 2.73
Os 0.0000 0.0000 0.3344 x2  4 Nb 2.70, 4 Mn 2.70

=====

Here are the calculated E_tot numbers, same order: -4.465; -5.169; -10.156 (eV/atom).